## La4Pr5Tm2 (PBE)

Data for a geometry-optimized La4Pr5Tm2 structure.

The space group is C2/m (No. 12) and the conventional cell measures 23.940, 3.755 and 9.462 Å, with angles of 90.00, 111.71 and 90.00 degrees. The asymmetric unit holds La at (0.018, 0.000, 0.331), La at (0.174, 0.000, 0.385), Pr at (0.000, 0.500, 0.000), Pr at (0.124, 0.000, 0.979), Pr at (0.241, 0.000, 0.818) and Tm at (0.108, 0.500, 0.646).

For the formation energy, the calculation gives 0.065 eV/atom. Its calculated volume is 35.9 A^3/atom. Its total energy is -51.83 eV per formula unit.

=====

## La2Pr3Tm8 (PBE)

Data for a geometry-optimized La2Pr3Tm8 structure.

The space group is C2/m (No. 12) and the conventional cell measures 20.965, 7.684 and 5.552 Å, with angles of 90.00, 90.03 and 90.00 degrees. The asymmetric unit holds La at (0.240, 0.000, 0.499), Pr at (0.000, 0.000, 0.500), Pr at (0.000, 0.296, 0.000), Tm at (0.108, 0.289, 0.500), Tm at (0.127, 0.000, 0.000) and Tm at (0.160, 0.500, 0.001).

For the formation energy, the calculation gives 0.264 eV/atom. Its calculated volume is 34.4 A^3/atom. Its total energy is -56.54 eV per formula unit.